## VRhCO2 (PBE+U)

Data for a relaxed VRhCO2 crystal.

Output
Electronic total energy = -6.535 eV/atom
Crystal system = tetragonal

```
data_VRhCO2
_chemical_formula_sum 'V1 Rh1 C1 O2'
_cell_length_a 3.592
_cell_length_b 3.592
_cell_length_c 4.397
_cell_angle_alpha 90.00
_cell_angle_beta 90.00
_cell_angle_gamma 90.00
_symmetry_space_group_name_H-M 'P 4/m m m'
_symmetry_Int_Tables_number 123
_symmetry_space_group_name_Hall '-P 4 2'
loop_
_atom_site_label
_atom_site_fract_x
_atom_site_fract_y
_atom_site_fract_z
V1 0.000 0.000 0.000
Rh1 0.500 0.500 0.500
C1 0.000 0.000 0.500
O1 0.000 0.500 0.000
```